Record 1
The following is a DFT calculation (PBE-GGA) of a relaxed Pm7SmTm4 crystal.

abc: 3.5959 3.5959 35.1145
angles: 90.00 90.00 120.00
Element x y z (fractional)
Pm 0.0000 0.0000 0.0000
Pm 0.6667 0.3333 0.8356
Pm 0.6667 0.3333 0.5851
Pm 0.0000 0.0000 0.2503
Pm 0.0000 0.0000 0.7497
Pm 0.3333 0.6667 0.4149
Pm 0.3333 0.6667 0.1644
Tm 0.3333 0.6667 0.6672
Tm 0.6667 0.3333 0.0821
Tm 0.3333 0.6667 0.9179
Tm 0.6667 0.3333 0.3328
Sm 0.0000 0.0000 0.5000

Output
For the energy above the most stable polymorph in this dataset, the calculation gives 20 kJ/mol of formula units.

=====

Record 2
The following is a DFT calculation (PBE-GGA) of a relaxed PmSm2Tm3 crystal.

abc: 3.4984 9.0479 12.9144
angles: 78.12 82.22 78.85
Element x y z (fractional)
Tm 0.4013 0.1712 0.0262
Tm 0.0399 0.1276 0.7927
Tm 0.5987 0.8288 0.9738
Tm 0.2631 0.1816 0.2922
Tm 0.7369 0.8184 0.7078
Tm 0.9601 0.8724 0.2073
Sm 0.8191 0.4788 0.8830
Sm 0.1809 0.5212 0.1170
Sm 0.6564 0.1548 0.5324
Sm 0.3436 0.8452 0.4676
Pm 0.5622 0.5201 0.3556
Pm 0.4378 0.4799 0.6444

Output
For the energy above the most stable polymorph in this dataset, the calculation gives 0 kJ/mol of formula units.

=====

Record 3
The following is a DFT calculation (PBE-GGA) of a relaxed Pm6SmTm12 crystal.

abc: 8.6630 8.6630 8.6630
angles: 98.73 98.73 98.73
Element x y z (fractional)
Pm 0.9001 0.9001 0.3457
Pm 0.0999 0.6543 0.0999
Pm 0.6543 0.0999 0.0999
Pm 0.9001 0.3457 0.9001
Pm 0.3457 0.9001 0.9001
Pm 0.0999 0.0999 0.6543
Tm 0.5000 0.2439 0.7561
Tm 0.5000 0.7561 0.2439
Tm 0.6454 0.6454 0.9193
Tm 0.3546 0.3546 0.0807
Tm 0.7561 0.5000 0.2439
Tm 0.2439 0.7561 0.5000
Tm 0.7561 0.2439 0.5000
Tm 0.2439 0.5000 0.7561
Tm 0.9193 0.6454 0.6454
Tm 0.3546 0.0807 0.3546
Tm 0.6454 0.9193 0.6454
Tm 0.0807 0.3546 0.3546
Sm 0.0000 0.0000 0.0000

Output
For the energy above the most stable polymorph in this dataset, the calculation gives 183 kJ/mol of formula units.

=====

Record 4
The following is a DFT calculation (PBE-GGA) of a relaxed Pm5Sm4Tm2 crystal.

abc: 3.5647 11.6966 9.0565
angles: 93.85 101.35 90.00
Element x y z (fractional)
Sm 0.6412 0.7952 0.2824
Sm 0.3588 0.2048 0.7176
Sm 0.0380 0.2619 0.0761
Sm 0.9620 0.7381 0.9239
Pm 0.1778 0.0724 0.3556
Pm 0.9027 0.4630 0.8054
Pm 0.0973 0.5370 0.1946
Pm 0.8222 0.9276 0.6444
Pm 0.5000 0.0000 0.0000
Tm 0.2844 0.6442 0.5689
Tm 0.7156 0.3558 0.4311

Output
For the energy above the most stable polymorph in this dataset, the calculation gives 0 kJ/mol of formula units.

=====

Record 5
The following is a DFT calculation (PBE-GGA) of a relaxed Pm12Sm5Tm crystal.

abc: 11.3821 10.5686 6.0553
angles: 90.03 90.06 57.42
Element x y z (fractional)
Pm 0.8400 0.6666 0.5439
Pm 0.1736 0.0000 0.5491
Pm 0.3250 0.0000 0.0496
Pm 0.6750 0.0000 0.9504
Pm 0.5066 0.3334 0.5439
Pm 0.1600 0.3334 0.4561
Pm 0.4934 0.6666 0.4561
Pm 0.3383 0.6695 0.9563
Pm 0.0078 0.3305 0.9563
Pm 0.6617 0.3305 0.0437
Pm 0.8264 0.0000 0.4509
Pm 0.9922 0.6695 0.0437
Tm 0.0000 0.0000 0.0000
Sm 0.6671 0.6658 0.0000
Sm 0.1656 0.6687 0.5000
Sm 0.3329 0.3342 0.0000
Sm 0.8344 0.3313 0.5000
Sm 0.5000 0.0000 0.5000

=====

Record 6
The following is a DFT calculation (PBE-GGA) of a relaxed Pm8Sm2Tm3 crystal.

abc: 5.6582 7.7055 10.9617
angles: 110.58 90.03 90.00
Element x y z (fractional)
Pm 0.4999 0.6003 0.7916
Pm 0.4999 0.1913 0.7916
Pm 0.5001 0.3997 0.2084
Pm 0.9995 0.3296 0.6592
Pm 0.0005 0.6704 0.3408
Pm 0.5001 0.8087 0.2084
Pm 0.9997 0.1289 0.2578
Pm 0.0003 0.8711 0.7422
Tm 0.5000 0.0000 0.0000
Tm 0.0000 0.2865 0.0000
Tm 0.0000 0.7135 0.0000
Sm 0.5007 0.7606 0.5212
Sm 0.4993 0.2394 0.4788

Output
For the energy above the most stable polymorph in this dataset, the calculation gives 234 kJ/mol of formula units.

=====

Record 7
The following is a DFT calculation (PBE-GGA) of a relaxed PmSm4Tm3 crystal.

abc: 5.6916 3.5934 13.2931
angles: 89.99 102.36 90.00
Element x y z (fractional)
Pm 0.5000 0.0000 0.0000
Tm 0.0000 0.5000 0.0000
Tm 0.8470 0.0002 0.6941
Tm 0.1530 0.9998 0.3059
Sm 0.3952 0.5004 0.7903
Sm 0.2757 0.4997 0.5514
Sm 0.6048 0.4996 0.2097
Sm 0.7243 0.5003 0.4486

Output
For the energy above the most stable polymorph in this dataset, the calculation gives 152 kJ/mol of formula units.

=====

Record 8
The following is a DFT calculation (PBE-GGA) of a relaxed Pm5Sm5Tm crystal.

abc: 6.1769 6.1769 11.6128
angles: 90.00 90.00 120.00
Element x y z (fractional)
Sm 0.3333 0.6667 0.6842
Sm 0.3333 0.6667 0.3158
Sm 0.6667 0.3333 0.8430
Sm 0.0000 0.0000 0.0000
Sm 0.6667 0.3333 0.1570
Tm 0.3333 0.6667 0.0000
Pm 0.8305 0.1695 0.5000
Pm 0.0000 0.0000 0.2637
Pm 0.3389 0.1695 0.5000
Pm 0.8305 0.6611 0.5000
Pm 0.0000 0.0000 0.7363

=====

Record 9
The following is a DFT calculation (PBE-GGA) of a relaxed Pm2SmTm crystal.

abc: 3.6201 3.6201 11.8712
angles: 81.23 81.23 60.00
Element x y z (fractional)
Pm 0.2513 0.2513 0.2462
Pm 0.0820 0.0820 0.7540
Sm 0.4998 0.4998 0.5005
Tm 0.6669 0.6669 0.9993

Output
For the energy above the most stable polymorph in this dataset, the calculation gives 1 kJ/mol of formula units.

=====

Record 10
The following is a DFT calculation (PBE-GGA) of a relaxed Pm5Sm12Tm2 crystal.

abc: 7.1822 9.9848 10.4436
angles: 69.83 90.00 111.08
Element x y z (fractional)
Sm 0.5840 0.6692 0.5191
Sm 0.0852 0.6692 0.5191
Sm 0.9148 0.3308 0.4809
Sm 0.5920 0.6803 0.8670
Sm 0.4080 0.3197 0.1330
Sm 0.9117 0.3197 0.1330
Sm 0.0218 0.0435 0.7597
Sm 0.4160 0.3308 0.4809
Sm 0.5022 0.0043 0.6809
Sm 0.4978 0.9957 0.3191
Sm 0.0883 0.6803 0.8670
Sm 0.9782 0.9565 0.2403
Pm 0.1845 0.3690 0.8159
Pm 0.8155 0.6310 0.1841
Pm 0.3244 0.6488 0.2077
Pm 0.6756 0.3512 0.7923
Pm 0.0000 0.0000 0.5000
Tm 0.2793 0.0000 0.0000
Tm 0.7207 0.0000 0.0000

Output
For the energy above the most stable polymorph in this dataset, the calculation gives 134 kJ/mol of formula units.

=====

In order of appearance, formation enthalpy at 0 K = 18, 119, 219, 77, 110, 206, 219, 311, 19, 174 meV/atom.
In order of appearance, spin magnetization = 0.00, 0.00, 0.00, 0.00, 0.00, 0.00, 0.00, 0.00, 0.00, 0.00 μB/cell.
In order of appearance, calculated total energy = -55.638, -26.892, -82.719, -50.724, -83.101, -58.180, -35.289, -48.399, -18.616, -86.027 eV per formula unit.